[1]
Compound: LaHPb
Source: Alexandria via LeMat-Bulk
Functional: PBE-GGA
Structure: relaxed

abc: 4.3822 4.3822 8.4954
angles: 104.95 104.95 90.00
Atoms (fractional coordinates):
La  0.3209  0.3209  0.6417
La  0.6791  0.6791  0.3583
H  0.2500  0.7500  0.5000
H  0.7500  0.2500  0.5000
Pb  0.0923  0.0923  0.1846
Pb  0.9077  0.9077  0.8154

Values from the calculation:
Relative energy among the computed polymorphs   146 meV per atom
Calculated volume   152 Å³ per cell
Total magnetic moment   0.000 μB per atom
DOS(E_F)   0.95 states/eV/atom

---

[2]
Compound: LaHPb
Source: Alexandria via LeMat-Bulk
Functional: PBE-GGA
Structure: relaxed

abc: 5.3894 3.9246 3.9246
angles: 120.00 90.00 90.00
Atoms (fractional coordinates):
Pb  0.6666  0.6667  0.3333
H  0.1668  0.3333  0.6667
La  0.1666  0.0000  0.0000

Values from the calculation:
Relative energy among the computed polymorphs   0 meV per atom
Calculated volume   72 Å³ per cell
Total magnetic moment   0.000 μB per atom
DOS(E_F)   0.34 states/eV/atom

---

[3]
Compound: LaHPb3
Source: Alexandria via LeMat-Bulk
Functional: PBE-GGA
Structure: relaxed

abc: 5.0090 5.0090 5.0090
angles: 90.00 90.00 90.00
Atoms (fractional coordinates):
Pb  0.0000  0.5000  0.0000
Pb  0.0000  0.0000  0.5000
Pb  0.5000  0.0000  0.0000
H  0.0000  0.0000  0.0000
La  0.5000  0.5000  0.5000

Values from the calculation:
Relative energy among the computed polymorphs   0 meV per atom
Calculated volume   126 Å³ per cell
Total magnetic moment   0.000 μB per atom
DOS(E_F)   0.53 states/eV/atom

---

[4]
Compound: LaH2Pb2
Source: Alexandria via LeMat-Bulk
Functional: PBE-GGA
Structure: relaxed

abc: 4.4194 4.4194 6.1297
angles: 68.87 68.87 90.00
Atoms (fractional coordinates):
Pb  0.3501  0.3501  0.2998
Pb  0.6499  0.6499  0.7002
H  0.7500  0.2500  0.5000
H  0.2500  0.7500  0.5000
La  0.0000  0.0000  0.0000

Values from the calculation:
Relative energy among the computed polymorphs   428 meV per atom
Calculated volume   103 Å³ per cell
Total magnetic moment   0.000 μB per atom
DOS(E_F)   0.56 states/eV/atom

---

[5]
Compound: LaH2Pb2
Source: Alexandria via LeMat-Bulk
Functional: PBE-GGA
Structure: relaxed

abc: 6.6837 6.6837 4.9195
angles: 90.00 90.00 90.00
Atoms (fractional coordinates):
Pb  0.1826  0.6826  0.5000
Pb  0.6826  0.8174  0.5000
Pb  0.8174  0.3174  0.5000
Pb  0.3174  0.1826  0.5000
H  0.2083  0.7083  0.0000
H  0.7083  0.7917  0.0000
H  0.7917  0.2917  0.0000
H  0.2917  0.2083  0.0000
La  0.0000  0.0000  0.0000
La  0.5000  0.5000  0.0000

Values from the calculation:
Relative energy among the computed polymorphs   0 meV per atom
Calculated volume   220 Å³ per cell
Total magnetic moment   0.000 μB per atom
DOS(E_F)   0.36 states/eV/atom

---

[6]
Compound: LaHPb
Source: Alexandria via LeMat-Bulk
Functional: PBE-GGA
Structure: relaxed

abc: 4.6973 4.6973 4.9222
angles: 118.50 118.50 90.00
Atoms (fractional coordinates):
Pb  0.2261  0.2261  0.4521
H  0.9692  0.9692  0.9384
La  0.6547  0.6547  0.3095

Values from the calculation:
Relative energy among the computed polymorphs   387 meV per atom
Calculated volume   80 Å³ per cell
Total magnetic moment   0.000 μB per atom
DOS(E_F)   0.19 states/eV/atom

---

- Which formula does entry 2 have?
  LaHPb